Entry 1:
# La4GeSCl2, optimized geometry, DFT GGA-PBE
data_La4GeSCl2
_chemical_formula_sum 'La4 Ge1 S1 Cl2'
_cell_length_a 7.3243
_cell_length_b 4.2883
_cell_length_c 7.3950
_cell_angle_alpha 90.00
_cell_angle_beta 109.87
_cell_angle_gamma 90.00
_space_group_name_H-M_alt 'P 1 2/m 1'
_space_group_IT_number 10
loop_
_space_group_symop_operation_xyz
'x,y,z'
'-x,-y,-z'
'-x,y,-z'
'x,-y,z'
loop_
_atom_site_label
_atom_site_fract_x
_atom_site_fract_y
_atom_site_fract_z
_atom_site_occupancy
La1 0.2335 0.0000 0.2257 1
La2 0.2462 0.5000 0.7667 1
Ge1 0.5000 0.0000 0.0000 1
S1 0.0000 0.5000 0.0000 1
Cl1 0.0000 0.0000 0.5000 1
Cl2 0.5000 0.5000 0.5000 1
# - formation energy (no corrections) (meV/atom) = -1622
# - magnetic moment (Bohr magnetons per cell) = 0.00
# - DFT total energy (eV/atom) = -5.6404



Entry 2:
# La4GeS2Cl, optimized geometry, DFT GGA-PBE
data_La4GeS2Cl
_chemical_formula_sum 'La8 Ge2 S4 Cl2'
_cell_length_a 5.9699
_cell_length_b 5.9699
_cell_length_c 12.0239
_cell_angle_alpha 90.00
_cell_angle_beta 90.00
_cell_angle_gamma 90.00
_space_group_name_H-M_alt 'I 4/m m m'
_space_group_IT_number 139
_space_group_name_Hall '-I 4 2'
loop_
_atom_site_label
_atom_site_fract_x
_atom_site_fract_y
_atom_site_fract_z
_atom_site_occupancy
La1 0.0000 0.0000 0.2468 1
La2 0.0000 0.5000 0.0000 1
Ge1 0.0000 0.0000 0.0000 1
S1 0.0000 0.5000 0.2500 1
Cl1 0.0000 0.0000 0.5000 1
# - formation energy (no corrections) (meV/atom) = -1747
# - magnetic moment (Bohr magnetons per cell) = 0.00
# - DFT total energy (eV/atom) = -6.0504



Per-record calculated volume, Å³/atom: 27.3 26.8